[1]
A plane-wave DFT calculation with GGA-PBEsol was carried out for a relaxed structure of Mn2SiIr.

Crystal system: tetragonal
Magnetization: 3.1 μB/f.u.
DFT total energy: -9.0713 eV/atom
E_form (uncorrected): -0.298 eV/atom

a = 4.361 Å, b = 4.361 Å, c = 4.361 Å
α = 128.93°, β = 128.93°, γ = 75.12°
Fractional positions:
Mn: 0.000 0.000 0.000
Mn: 0.750 0.250 0.500
Si: 0.500 0.500 0.000
Ir: 0.250 0.750 0.500

[2]
A plane-wave DFT calculation with GGA-PBEsol was carried out for a relaxed structure of MnSiIr2.

Crystal system: tetragonal
Magnetization: 3.5 μB/f.u.
DFT total energy: -9.1686 eV/atom
E_form (uncorrected): -0.380 eV/atom

a = 3.915 Å, b = 3.915 Å, c = 3.428 Å
α = 90.00°, β = 90.00°, γ = 90.00°
Fractional positions:
Mn: 0.000 0.000 0.000
Si: 0.500 0.500 0.000
Ir: 0.000 0.500 0.500
Ir: 0.500 0.000 0.500

> Among the records above, which one has the highest DFT total energy?

Mn2SiIr